Record 1
VASP calculation (PBE) on crystalline ZrMn3Pd at its relaxed geometry.

Results
- Final energy: -0.27231 Ha/atom

abc: 4.738 4.738 4.738
angles: 90.00 90.00 90.00
Positions (direct):
1 Zr 0.000 0.000 0.000
2 Mn 0.000 0.500 0.500
3 Mn 0.500 0.000 0.500
4 Mn 0.500 0.500 0.000
5 Pd 0.500 0.500 0.500

Record 2
VASP calculation (PBE) on crystalline ZrMnPd5 at its relaxed geometry.

Results
- Final energy: -0.24476 Ha/atom

abc: 4.122 4.122 6.962
angles: 90.00 90.00 90.00
Positions (direct):
1 Zr 0.000 0.000 0.000
2 Mn 0.500 0.500 0.500
3 Pd 0.000 0.500 0.278
4 Pd 0.000 0.500 0.722
5 Pd 0.500 0.000 0.278
6 Pd 0.500 0.000 0.722
7 Pd 0.500 0.500 0.000

Record 3
VASP calculation (PBE) on crystalline ZrMnPd4 at its relaxed geometry.

Results
- Final energy: -0.25178 Ha/atom

abc: 3.389 3.389 8.621
angles: 90.00 90.00 90.00
Positions (direct):
1 Zr 0.000 0.000 0.000
2 Mn 0.500 0.500 0.500
3 Pd 0.000 0.000 0.340
4 Pd 0.000 0.000 0.660
5 Pd 0.500 0.500 0.166
6 Pd 0.500 0.500 0.834

Record 4
VASP calculation (PBE) on crystalline ZrMn2Pd8 at its relaxed geometry.

Results
- Final energy: -0.24164 Ha/atom

abc: 7.364 7.364 7.364
angles: 147.20 123.58 66.82
Positions (direct):
1 Zr 0.000 0.000 0.000
2 Mn 0.308 0.308 0.000
3 Mn 0.692 0.692 0.000
4 Pd 0.120 0.840 0.280
5 Pd 0.152 0.652 0.500
6 Pd 0.299 0.500 0.799
7 Pd 0.440 0.160 0.280
8 Pd 0.560 0.840 0.720
9 Pd 0.701 0.500 0.201
10 Pd 0.848 0.348 0.500
11 Pd 0.880 0.160 0.720

Record 5
VASP calculation (PBE) on crystalline Zr4MnPd at its relaxed geometry.

Results
- Final energy: -0.30664 Ha/atom

abc: 6.532 6.532 5.587
angles: 90.00 90.00 90.00
Positions (direct):
1 Zr 0.155 0.320 0.000
2 Zr 0.155 0.680 0.500
3 Zr 0.320 0.155 0.500
4 Zr 0.320 0.845 0.000
5 Zr 0.680 0.155 0.000
6 Zr 0.680 0.845 0.500
7 Zr 0.845 0.320 0.500
8 Zr 0.845 0.680 0.000
9 Mn 0.000 0.000 0.250
10 Mn 0.000 0.000 0.750
11 Pd 0.500 0.500 0.250
12 Pd 0.500 0.500 0.750

Record 6
VASP calculation (PBE) on crystalline ZrMn3Pd12 at its relaxed geometry.

Results
- Final energy: -0.23962 Ha/atom

abc: 3.965 3.965 15.719
angles: 90.00 90.00 90.00
Positions (direct):
1 Zr 0.000 0.000 0.000
2 Mn 0.000 0.000 0.255
3 Mn 0.000 0.000 0.500
4 Mn 0.000 0.000 0.745
5 Pd 0.000 0.500 0.129
6 Pd 0.000 0.500 0.377
7 Pd 0.000 0.500 0.623
8 Pd 0.000 0.500 0.871
9 Pd 0.500 0.000 0.129
10 Pd 0.500 0.000 0.377
11 Pd 0.500 0.000 0.623
12 Pd 0.500 0.000 0.871
13 Pd 0.500 0.500 0.000
14 Pd 0.500 0.500 0.253
15 Pd 0.500 0.500 0.500
16 Pd 0.500 0.500 0.747

Record 7
VASP calculation (PBE) on crystalline ZrMn3Pd at its relaxed geometry.

Results
- Final energy: -0.23181 Ha/atom

abc: 4.450 4.450 4.450
angles: 90.00 90.00 90.00
Positions (direct):
1 Zr 0.000 0.000 0.000
2 Mn 0.000 0.000 0.500
3 Mn 0.000 0.500 0.000
4 Mn 0.500 0.000 0.000
5 Pd 0.500 0.500 0.500

Record 8
VASP calculation (PBE) on crystalline ZrMnPd4 at its relaxed geometry.

Results
- Final energy: -0.24978 Ha/atom

abc: 7.508 2.948 17.809
angles: 90.00 90.00 90.00
Positions (direct):
1 Zr 0.212 0.250 0.054
2 Zr 0.288 0.750 0.554
3 Zr 0.712 0.250 0.446
4 Zr 0.788 0.750 0.946
5 Mn 0.215 0.750 0.305
6 Mn 0.285 0.250 0.805
7 Mn 0.715 0.750 0.195
8 Mn 0.785 0.250 0.695
9 Pd 0.026 0.750 0.433
10 Pd 0.072 0.750 0.175
11 Pd 0.099 0.750 0.697
12 Pd 0.151 0.750 0.920
13 Pd 0.349 0.250 0.420
14 Pd 0.401 0.250 0.197
15 Pd 0.428 0.250 0.675
16 Pd 0.474 0.250 0.933
17 Pd 0.526 0.750 0.067
18 Pd 0.572 0.750 0.325
19 Pd 0.599 0.750 0.803
20 Pd 0.651 0.750 0.580
21 Pd 0.849 0.250 0.080
22 Pd 0.901 0.250 0.303
23 Pd 0.928 0.250 0.825
24 Pd 0.974 0.250 0.567

Record 9
VASP calculation (PBE) on crystalline PmMn2 at its relaxed geometry.

Results
- Final energy: -0.27308 Ha/atom

abc: 5.235 5.235 5.235
angles: 60.00 60.00 60.00
Positions (direct):
1 Pm 0.125 0.125 0.125
2 Pm 0.875 0.875 0.875
3 Mn 0.000 0.500 0.500
4 Mn 0.500 0.000 0.500
5 Mn 0.500 0.500 0.000
6 Mn 0.500 0.500 0.500

Record 10
VASP calculation (PBE) on crystalline Pm4Mn at its relaxed geometry.

Results
- Final energy: -0.19660 Ha/atom

abc: 5.403 5.403 5.403
angles: 90.00 90.00 90.00
Positions (direct):
1 Pm 0.000 0.000 0.000
2 Pm 0.000 0.500 0.500
3 Pm 0.500 0.000 0.500
4 Pm 0.500 0.500 0.000
5 Mn 0.500 0.500 0.500

| no. | formation energy from the elements (meV/atom) |
| --- | --- |
| 1 | 840 |
| 2 | -420 |
| 3 | -436 |
| 4 | -354 |
| 5 | -252 |
| 6 | -372 |
| 7 | 1942 |
| 8 | -382 |
| 9 | 266 |
| 10 | 285 |